Entry 1:
Pr2Si4IrRh3 (GGA-PBE, relaxed); DOS at the Fermi energy = 0.62 states/eV per atom; energy relative to the elements, uncorrected = -1.024 eV/atom; electronic total energy = -7.241 eV/atom; total magnetization = 0.0 μB/cell
1.0
4.1950 0.0000 0.0000
0.0000 4.1950 0.0000
0.0000 0.0000 9.9246
Pr Si Ir Rh
2 4 1 3
Direct
0.0000 0.5000 0.2431
0.5000 0.0000 0.7569
0.0000 0.0000 0.0000
0.0000 0.5000 0.6284
0.5000 0.0000 0.3716
0.5000 0.5000 0.0000
0.0000 0.0000 0.5000
0.0000 0.5000 0.8751
0.5000 0.0000 0.1249
0.5000 0.5000 0.5000

---

Entry 2:
PrSi2IrRh (GGA-PBE, relaxed); DOS at the Fermi energy = 0.40 states/eV per atom; energy relative to the elements, uncorrected = -1.063 eV/atom; electronic total energy = -7.430 eV/atom; total magnetization = 0.0 μB/cell
1.0
-2.0606 2.0606 5.1284
2.0606 -2.0606 5.1284
2.0606 2.0606 -5.1284
Pr Si Ir Rh
1 2 1 1
Direct
0.0000 0.0000 0.0000
0.3745 0.3745 0.0000
0.6255 0.6255 0.0000
0.2500 0.7500 0.5000
0.7500 0.2500 0.5000

---

Entry 3:
PrSmIrRh (GGA-PBE, relaxed); DFT formation energy = -0.661 eV per atom; DOS at the Fermi energy = 0.35 states/eV per atom; electronic total energy = -7.088 eV/atom; total magnetization = 0.0 μB/cell; energy above the lowest structure with this stoichiometry = 0.0 meV per atom
1.0
4.2405 0.0000 0.0000
0.0000 1.9991 5.4736
0.0000 -1.9991 5.4736
Pr Sm Ir Rh
1 1 1 1
Direct
0.0000 0.0000 0.0000
0.5000 0.2868 0.2868
0.0000 0.7258 0.7258
0.5000 0.5646 0.5646

---

What is the formula in the third record? PrSmIrRh